The following is a PBE with a Hubbard U calculation of crystalline AcMn2WO8 at its relaxed geometry, from the Alexandria database. Values from VASP.

Energy: -0.2733 Ha/atom

Geometry as Quantum ESPRESSO input:
```
&SYSTEM
  ibrav = 0, nat = 12, ntyp = 4
/
ATOMIC_SPECIES
Ac 227.00 Ac.upf
Mn 54.94 Mn.upf
W 183.84 W.upf
O 16.00 O.upf
ATOMIC_POSITIONS angstrom
Ac 0.000 0.000 0.000
Mn 2.803 2.453 1.655
Mn 3.694 3.235 5.275
W 0.478 0.421 3.465
O 2.185 4.419 4.884
O 1.824 4.101 2.050
O 1.905 1.661 3.119
O 2.833 2.474 6.851
O 3.665 3.214 0.079
O 4.592 4.027 3.812
O 4.673 1.587 4.880
O 4.312 1.269 2.047
CELL_PARAMETERS angstrom
4.889 0.000 0.000
0.653 4.847 0.000
0.955 0.841 6.930
```